Record 1
This record from Alexandria describes crystalline LaHo2Mg at its relaxed geometry. The functional is GGA-PBE.

Lattice parameters (Å, degrees): 5.5735 5.5735 5.5735 60.00 60.00 60.00
Closest atoms and distances in Å follow each position.
Fractional coordinates of all 4 atoms:
La (0.0000, 0.0000, 0.0000)  8 Ho 3.41
Ho (0.2500, 0.2500, 0.2500)  4 Mg 3.41, 4 La 3.41
Ho (0.7500, 0.7500, 0.7500)  4 Mg 3.41, 4 La 3.41
Mg (0.5000, 0.5000, 0.5000)  8 Ho 3.41

Calculated values
Space group: No. 225
Energy relative to the elements, eV per atom: 0.12

Record 2
This record from Alexandria describes crystalline TcAg4Au at its relaxed geometry. The functional is GGA-PBE.

Lattice parameters (Å, degrees): 5.3936 5.3936 5.3936 60.00 60.00 60.00
Closest atoms and distances in Å follow each position.
Fractional coordinates of all 6 atoms:
Ag (0.3750, 0.3750, 0.8751)  6 Ag 2.70
Ag (0.3750, 0.3750, 0.3750)  6 Ag 2.70
Ag (0.3750, 0.8751, 0.3750)  6 Ag 2.70
Ag (0.8751, 0.3750, 0.3750)  6 Ag 2.70
Tc (0.0000, 0.0000, 0.0000)  12 Ag 3.16, 4 Au 3.30
Au (0.7500, 0.7500, 0.7500)  12 Ag 3.16, 4 Tc 3.30

Calculated values
Space group: No. 216
Energy relative to the elements, eV per atom: 0.57

Asked for DFT total energy across the records above, the calculation gives -3.798, -3.604 eV/atom in order.